w:
DFT (PBE) results for a relaxed DyYAu2 crystal.

Structure (POSCAR):
```
DyYAu2
1.0
5.1154 0.0000 0.0000
0.0000 5.1154 0.0000
0.0000 0.0000 3.5769
Dy Y Au
1 1 2
Direct
0.0000 0.0000 0.0000
0.5000 0.5000 0.0000
0.0000 0.5000 0.5000
0.5000 0.0000 0.5000
```


x:
DFT (PBE) results for a relaxed DyYAu2 crystal.

Structure (POSCAR):
```
DyYAu2
1.0
3.7158 0.0000 0.0000
0.0000 4.7044 0.0000
-1.8503 0.0000 5.5152
Dy Y Au
1 1 2
Direct
0.0000 0.0000 0.0000
0.2767 0.5000 0.5555
0.5495 0.5000 0.1001
0.7259 0.0000 0.4528
```


Ordering by calculated energy gives the sequence x, w, with the first entry being the most stable.


w:
DFT (PBE) results for a relaxed DyYAu2 crystal.

Structure (POSCAR):
```
DyYAu2
1.0
7.2106 0.0000 0.0000
0.0000 7.2106 0.0000
0.0000 0.0000 7.2106
Dy Y Au
4 4 8
Direct
0.0000 0.0000 0.0000
0.0000 0.5000 0.5000
0.5000 0.0000 0.5000
0.5000 0.5000 0.0000
0.0000 0.0000 0.5000
0.0000 0.5000 0.0000
0.5000 0.0000 0.0000
0.5000 0.5000 0.5000
0.2500 0.2500 0.2500
0.2500 0.2500 0.7500
0.2500 0.7500 0.2500
0.2500 0.7500 0.7500
0.7500 0.2500 0.2500
0.7500 0.2500 0.7500
0.7500 0.7500 0.2500
0.7500 0.7500 0.7500
```


x:
DFT (PBE) results for a relaxed DyYAu2 crystal.

Structure (POSCAR):
```
DyYAu2
1.0
4.0088 0.0000 0.0000
-2.0044 3.4717 0.0000
0.0000 0.0000 22.5729
Dy Y Au
3 3 6
Direct
0.0000 0.0000 0.0000
0.3333 0.6667 0.6667
0.6667 0.3333 0.3333
0.0000 0.0000 0.8310
0.3333 0.6667 0.4977
0.6667 0.3333 0.1643
0.0000 0.0000 0.4153
0.0000 0.0000 0.5818
0.3333 0.6667 0.0820
0.3333 0.6667 0.2484
0.6667 0.3333 0.7486
0.6667 0.3333 0.9151
```


Ordering by calculated energy gives the sequence w, x, with the first entry being the most stable.


w:
DFT (PBE) results for a relaxed Dy3YAu2 crystal.

Structure (POSCAR):
```
Dy3YAu2
1.0
4.9695 0.0000 0.0000
0.0000 8.9500 0.0000
0.0000 0.0000 7.1263
Dy Y Au
6 2 4
Direct
0.0000 0.0745 0.0000
0.0000 0.3302 0.3639
0.0000 0.6698 0.8639
0.0000 0.9255 0.5000
0.5000 0.1679 0.6625
0.5000 0.8321 0.1625
0.5000 0.4276 0.0258
0.5000 0.5724 0.5258
0.0000 0.3487 0.7699
0.0000 0.6513 0.2699
0.5000 0.1517 0.2557
0.5000 0.8483 0.7557
```


x:
DFT (PBE) results for a relaxed Dy3YAu2 crystal.

Structure (POSCAR):
```
Dy3YAu2
1.0
-3.5264 6.9360 3.6478
3.5264 -6.9360 3.6478
3.5264 6.9360 -3.6478
Dy Y Au
6 2 4
Direct
0.0167 0.7500 0.2667
0.2500 0.2500 0.0000
0.4833 0.7500 0.7333
0.5167 0.2500 0.2667
0.7500 0.7500 0.0000
0.9833 0.2500 0.7333
0.0000 0.5000 0.5000
0.5000 0.0000 0.5000
0.1418 0.2050 0.3468
0.3582 0.7050 0.0632
0.6418 0.2950 0.9368
0.8582 0.7950 0.6532
```


Ordering by calculated energy gives the sequence w, x, with the first entry being the most stable.